w.
Below is a geometry-optimized Pr8ZnAu2 structure, with properties calculated at the PBE-GGA level.

a b c (Å): 5.299 7.110 9.831
angles (deg): 107.56 105.63 90.00
Fractional coordinates of all 11 atoms:
Pr  0.199  0.336  0.398
Pr  0.409  0.531  0.818
Pr  0.977  0.222  0.955
Pr  0.669  0.994  0.338
Pr  0.591  0.469  0.182
Pr  0.801  0.664  0.602
Pr  0.023  0.778  0.045
Pr  0.331  0.006  0.662
Zn  0.500  0.000  0.000
Au  0.825  0.263  0.650
Au  0.175  0.737  0.350

Values from the calculation:
Symmetry = C2/m, No. 12
Crystal system = monoclinic

x.
Below is a geometry-optimized Pr8ZnAu2 structure, with properties calculated at the PBE-GGA level.

a b c (Å): 5.781 8.473 8.473
angles (deg): 116.37 100.61 100.61
Fractional coordinates of all 11 atoms:
Pr  0.414  0.682  0.912
Pr  0.181  0.389  0.389
Pr  0.996  0.776  0.229
Pr  0.809  0.614  0.614
Pr  0.996  0.229  0.776
Pr  0.575  0.330  0.094
Pr  0.575  0.094  0.330
Pr  0.414  0.912  0.682
Zn  0.048  0.998  0.998
Au  0.495  0.308  0.701
Au  0.495  0.701  0.308

Values from the calculation:
Symmetry = Cm, No. 8
Crystal system = monoclinic

Relative to the most stable structure, the computed energies are w 0.000; x 0.117, all in eV/atom.